[1]
# BaLi2Ta (GGA-PBEsol, optimized geometry)
data_BaLi2Ta
_space_group_name_H-M_alt 'C 1 2/m 1'
_space_group_IT_number 12
_cell_length_a 6.419
_cell_length_b 9.787
_cell_length_c 2.901
_cell_angle_alpha 90.00
_cell_angle_beta 100.95
_cell_angle_gamma 90.00
loop_
_space_group_symop_operation_xyz
'x,y,z'
'-x,-y,-z'
'-x,y,-z'
'x,-y,z'
'x+1/2,y+1/2,z'
'-x+1/2,-y+1/2,-z'
'-x+1/2,y+1/2,-z'
'x+1/2,-y+1/2,z'
loop_
_atom_site_label
_atom_site_type_symbol
_atom_site_fract_x
_atom_site_fract_y
_atom_site_fract_z
Ba1 Ba 0.000 0.000 0.000
Li1 Li 0.250 0.250 0.500
Ta1 Ta 0.000 0.500 0.000
# ΔE to the lowest computed polymorph	32	meV per atom
# mass density	6.16	g cm⁻³
# final energy	-3.858	eV per atom
# D(E_F)	0.96	states/eV per atom
# formation enthalpy at 0 K	0.80	eV per atom

***

[2]
# BaLiTa2 (GGA-PBEsol, optimized geometry)
data_BaLiTa2
_space_group_name_H-M_alt 'C m m 2'
_space_group_IT_number 35
_cell_length_a 3.454
_cell_length_b 4.992
_cell_length_c 10.534
_cell_angle_alpha 90.00
_cell_angle_beta 90.00
_cell_angle_gamma 90.00
loop_
_space_group_symop_operation_xyz
'x,y,z'
'-x,-y,z'
'-x,y,z'
'x,-y,z'
'x+1/2,y+1/2,z'
'-x+1/2,-y+1/2,z'
'-x+1/2,y+1/2,z'
'x+1/2,-y+1/2,z'
loop_
_atom_site_label
_atom_site_type_symbol
_atom_site_fract_x
_atom_site_fract_y
_atom_site_fract_z
Ba1 Ba 0.000 0.000 0.000
Li1 Li 0.000 0.500 0.699
Ta1 Ta 0.000 0.000 0.476
Ta2 Ta 0.000 0.500 0.284
# ΔE to the lowest computed polymorph	0	meV per atom
# mass density	9.25	g cm⁻³
# final energy	-6.696	eV per atom
# D(E_F)	0.93	states/eV per atom
# formation enthalpy at 0 K	0.61	eV per atom

***

[3]
# BaLiTa2 (GGA-PBEsol, optimized geometry)
data_BaLiTa2
_space_group_name_H-M_alt 'P 4/m m m'
_space_group_IT_number 123
_space_group_name_Hall '-P 4 2'
_cell_length_a 4.039
_cell_length_b 4.039
_cell_length_c 5.306
_cell_angle_alpha 90.00
_cell_angle_beta 90.00
_cell_angle_gamma 90.00
loop_
_atom_site_label
_atom_site_type_symbol
_atom_site_fract_x
_atom_site_fract_y
_atom_site_fract_z
Ba1 Ba 0.000 0.000 0.000
Li1 Li 0.500 0.500 0.000
Ta1 Ta 0.000 0.500 0.500
# ΔE to the lowest computed polymorph	453	meV per atom
# mass density	9.71	g cm⁻³
# final energy	-6.243	eV per atom
# D(E_F)	1.55	states/eV per atom
# formation enthalpy at 0 K	1.06	eV per atom

***

Copy entry 3 word for word.
# BaLiTa2 (GGA-PBEsol, optimized geometry)
data_BaLiTa2
_space_group_name_H-M_alt 'P 4/m m m'
_space_group_IT_number 123
_space_group_name_Hall '-P 4 2'
_cell_length_a 4.039
_cell_length_b 4.039
_cell_length_c 5.306
_cell_angle_alpha 90.00
_cell_angle_beta 90.00
_cell_angle_gamma 90.00
loop_
_atom_site_label
_atom_site_type_symbol
_atom_site_fract_x
_atom_site_fract_y
_atom_site_fract_z
Ba1 Ba 0.000 0.000 0.000
Li1 Li 0.500 0.500 0.000
Ta1 Ta 0.000 0.500 0.500
# ΔE to the lowest computed polymorph	453	meV per atom
# mass density	9.71	g cm⁻³
# final energy	-6.243	eV per atom
# D(E_F)	1.55	states/eV per atom
# formation enthalpy at 0 K	1.06	eV per atom